Material: CaBrCl2
Method: DFT, meta-GGA SCAN
State: single point on PBEsol structure

Summary:
**SG**: C2/m (12)
**N(E_F)**: 0.0846 states/eV per atom
**Formation energy (no corrections)**: -1.67 eV/atom

POSCAR file:
```
CaBrCl2
1.0
10.599 0.000 0.000
0.000 3.869 0.000
-1.480 0.000 5.128
Ca Br Cl
2 2 4
Cartesian
0.000 0.000 0.000 Ca
5.299 1.935 0.000 Ca
-0.740 1.935 2.564 Br
4.559 0.000 2.564 Br
1.639 1.935 0.945 Cl
2.180 0.000 4.183 Cl
6.939 0.000 0.945 Cl
7.479 1.935 4.183 Cl
```